## 1
Density functional theory data (GGA-PBE) for a relaxed structure of BaAgC3.

The theoretical density comes out at 5.44 g/cm3.

Cell lengths 4.4117, 4.4117, 4.4117 Å; angles 90.00, 90.00, 90.00 degrees
Last column: magnetic moment on the atom in μB.
Fractional coordinates of all 5 atoms:
C  0.0000  0.0000  0.5000  0.68
C  0.0000  0.5000  0.0000  0.51
C  0.5000  0.0000  0.0000  0.59
Ba  0.5000  0.5000  0.5000  0.14
Ag  0.0000  0.0000  0.0000  0.17



## 2
Density functional theory data (GGA-PBE) for a relaxed structure of BaAgC3.

The theoretical density comes out at 4.25 g/cm3.

Cell lengths 4.7880, 4.7880, 4.7880 Å; angles 90.00, 90.00, 90.00 degrees
Fractional coordinates of all 5 atoms:
C  0.0000  0.5000  0.0000
C  0.5000  0.0000  0.0000
C  0.0000  0.0000  0.5000
Ba  0.0000  0.0000  0.0000
Ag  0.5000  0.5000  0.5000



Least stable of them? 2.